MnPd2S4 | GGA-PBE | relaxed

Lattice parameters (Å, degrees): 4.7314 4.7314 6.6806 69.26 69.26 90.00
Last column: nearest neighbours and their distance in Å.
Element x y z (fractional)
S: 0.1916 0.1916 0.6169  1 Mn 2.22, 1 Pd 2.25
S: 0.8084 0.8084 0.3831  1 Mn 2.22, 1 Pd 2.25
S: 0.0000 0.5000 0.0000  2 Mn 2.37
S: 0.5000 0.0000 0.0000  2 Mn 2.37
Mn: 0.0000 0.0000 0.0000  6 S 2.22-2.37
Pd: 0.3861 0.3861 0.2278  1 S 2.25
Pd: 0.6139 0.6139 0.7722  1 S 2.25

Calculated values
VASP energy   -4.9890 eV/atom

Mn3PdS | GGA-PBE | relaxed

Lattice parameters (Å, degrees): 4.8115 4.8115 4.8115 90.00 90.00 90.00
Last column: nearest neighbours and their distance in Å.
Element x y z (fractional)
S: 0.5000 0.5000 0.5000  12 Mn 3.40
Mn: 0.0000 0.5000 0.0000  2 Pd 2.41
Mn: 0.0000 0.0000 0.5000  2 Pd 2.41
Mn: 0.5000 0.0000 0.0000  2 Pd 2.41
Pd: 0.0000 0.0000 0.0000  6 Mn 2.41

Calculated values
VASP energy   -6.5326 eV/atom
Distance to the lowest polymorph of the same formula   0.417 eV/atom

ΔE_f (raw)? In order: 1.14; 4.17 eV/f.u..